CePm2Si2Ni2 after structural relaxation. Source: the Alexandria database, functional PBE-GGA.

Cell and atoms, written as CIF:
```
data_CePm2Si2Ni2
_chemical_formula_sum 'Ce3 Pm6 Si6 Ni6'
_space_group_name_H-M_alt 'R -3 m'
_space_group_IT_number 166
_space_group_name_Hall '-R 3 2"'
_cell_length_a 4.1171
_cell_length_b 4.1171
_cell_length_c 32.0694
_cell_angle_alpha 90.00
_cell_angle_beta 90.00
_cell_angle_gamma 120.00
loop_
_atom_site_label
_atom_site_fract_x
_atom_site_fract_y
_atom_site_fract_z
_atom_site_occupancy
Ce1 0.0000 0.0000 0.0000 1
Pm1 0.0000 0.0000 0.1163 1
Si1 0.0000 0.0000 0.2724 1
Ni1 0.0000 0.0000 0.3913 1
```

Raw formation energy (eV per atom): -0.615

---

CePmSi2Ni2 after structural relaxation. Source: the Alexandria database, functional PBE-GGA.

Cell and atoms, written as CIF:
```
data_CePmSi2Ni2
_chemical_formula_sum 'Ce1 Pm1 Si2 Ni2'
_space_group_name_H-M_alt 'P -3 m 1'
_space_group_IT_number 164
_space_group_name_Hall '-P 3 2"'
_cell_length_a 4.0613
_cell_length_b 4.0613
_cell_length_c 8.0224
_cell_angle_alpha 90.00
_cell_angle_beta 90.00
_cell_angle_gamma 120.00
loop_
_atom_site_label
_atom_site_fract_x
_atom_site_fract_y
_atom_site_fract_z
_atom_site_occupancy
Ce1 0.0000 0.0000 0.0000 1
Pm1 0.0000 0.0000 0.5000 1
Si1 0.3333 0.6667 0.2455 1
Ni1 0.3333 0.6667 0.7561 1
```

Raw formation energy (eV per atom): -0.738

---

CePmNiSn after structural relaxation. Source: the Alexandria database, functional PBE-GGA.

Cell and atoms, written as CIF:
```
data_CePmNiSn
_chemical_formula_sum 'Ce4 Pm4 Ni4 Sn4'
_space_group_name_H-M_alt 'F -4 3 m'
_space_group_IT_number 216
_space_group_name_Hall 'F -4 2 3'
_cell_length_a 7.407
_cell_length_b 7.407
_cell_length_c 7.407
_cell_angle_alpha 90.00
_cell_angle_beta 90.00
_cell_angle_gamma 90.00
loop_
_atom_site_label
_atom_site_fract_x
_atom_site_fract_y
_atom_site_fract_z
_atom_site_occupancy
Ce1 0.000 0.000 0.000 1
Pm1 0.000 0.000 0.500 1
Ni1 0.250 0.250 0.750 1
Sn1 0.250 0.250 0.250 1
```

ΔH_f (0 K) (eV/atom): -0.30

---

CePmTcNi after structural relaxation. Source: the Alexandria database, functional PBE-GGA.

Cell and atoms, written as CIF:
```
data_CePmTcNi
_chemical_formula_sum 'Ce4 Pm4 Tc4 Ni4'
_space_group_name_H-M_alt 'F -4 3 m'
_space_group_IT_number 216
_space_group_name_Hall 'F -4 2 3'
_cell_length_a 6.925
_cell_length_b 6.925
_cell_length_c 6.925
_cell_angle_alpha 90.00
_cell_angle_beta 90.00
_cell_angle_gamma 90.00
loop_
_atom_site_label
_atom_site_fract_x
_atom_site_fract_y
_atom_site_fract_z
_atom_site_occupancy
Ce1 0.000 0.000 0.000 1
Pm1 0.000 0.000 0.500 1
Tc1 0.250 0.250 0.250 1
Ni1 0.250 0.250 0.750 1
```

ΔH_f (0 K) (eV/atom): -0.05

---

CePmZnNi after structural relaxation. Source: the Alexandria database, functional PBE-GGA.

Cell and atoms, written as CIF:
```
data_CePmZnNi
_chemical_formula_sum 'Ce4 Pm4 Zn4 Ni4'
_space_group_name_H-M_alt 'F -4 3 m'
_space_group_IT_number 216
_space_group_name_Hall 'F -4 2 3'
_cell_length_a 7.104
_cell_length_b 7.104
_cell_length_c 7.104
_cell_angle_alpha 90.00
_cell_angle_beta 90.00
_cell_angle_gamma 90.00
loop_
_atom_site_label
_atom_site_fract_x
_atom_site_fract_y
_atom_site_fract_z
_atom_site_occupancy
Ce1 0.000 0.000 0.000 1
Pm1 0.000 0.000 0.500 1
Zn1 0.250 0.250 0.250 1
Ni1 0.250 0.250 0.750 1
```

ΔH_f (0 K) (eV/atom): -0.19

---

CePrNi10 after structural relaxation. Source: the Alexandria database, functional PBE-GGA.

Cell and atoms, written as CIF:
```
data_CePrNi10
_chemical_formula_sum 'Ce1 Pr1 Ni10'
_space_group_name_H-M_alt 'P m m m'
_space_group_IT_number 47
_cell_length_a 3.987
_cell_length_b 4.934
_cell_length_c 8.530
_cell_angle_alpha 90.00
_cell_angle_beta 90.00
_cell_angle_gamma 90.00
loop_
_space_group_symop_operation_xyz
'x,y,z'
'-x,-y,-z'
'-x,-y,z'
'x,y,-z'
'x,-y,-z'
'-x,y,z'
'-x,y,-z'
'x,-y,z'
loop_
_atom_site_label
_atom_site_fract_x
_atom_site_fract_y
_atom_site_fract_z
_atom_site_occupancy
Ce1 0.000 0.000 0.000 1
Pr1 0.000 0.500 0.500 1
Ni1 0.000 0.000 0.324 1
Ni2 0.000 0.500 0.160 1
Ni3 0.500 0.000 0.500 1
Ni4 0.500 0.249 0.247 1
Ni5 0.500 0.500 0.000 1
```

ΔH_f (0 K) (eV/atom): -0.30

---

CePrNi17 after structural relaxation. Source: the Alexandria database, functional PBE-GGA.

Cell and atoms, written as CIF:
```
data_CePrNi17
_chemical_formula_sum 'Ce3 Pr3 Ni51'
_space_group_name_H-M_alt 'R 3 m'
_space_group_IT_number 160
_space_group_name_Hall 'R 3 -2"'
_cell_length_a 8.3430
_cell_length_b 8.3430
_cell_length_c 12.1270
_cell_angle_alpha 90.00
_cell_angle_beta 90.00
_cell_angle_gamma 120.00
loop_
_atom_site_label
_atom_site_fract_x
_atom_site_fract_y
_atom_site_fract_z
_atom_site_occupancy
Ce1 0.0000 0.0000 0.0000 1
Pr1 0.0000 0.0000 0.3216 1
Ni1 0.0000 0.0000 0.5650 1
Ni2 0.0000 0.0000 0.7629 1
Ni3 0.0008 0.5004 0.8160 1
Ni4 0.0011 0.5006 0.1615 1
Ni5 0.0017 0.2922 0.6618 1
Ni6 0.0041 0.5020 0.5072 1
```

ΔH_f (0 K) (eV/atom): -0.17

---

Ce2Pr2Ni15 after structural relaxation. Source: the Alexandria database, functional PBE-GGA.

Cell and atoms, written as CIF:
```
data_Ce2Pr2Ni15
_chemical_formula_sum 'Ce6 Pr6 Ni45'
_space_group_name_H-M_alt 'R -3 m'
_space_group_IT_number 166
_space_group_name_Hall '-R 3 2"'
_cell_length_a 8.5813
_cell_length_b 8.5813
_cell_length_c 12.7556
_cell_angle_alpha 90.00
_cell_angle_beta 90.00
_cell_angle_gamma 120.00
loop_
_atom_site_label
_atom_site_fract_x
_atom_site_fract_y
_atom_site_fract_z
_atom_site_occupancy
Ce1 0.0000 0.0000 0.1081 1
Pr1 0.0000 0.0000 0.3583 1
Ni1 0.0000 0.3122 0.0000 1
Ni2 0.0000 0.5000 0.5000 1
Ni3 0.0055 0.5028 0.1590 1
```

ΔH_f (0 K) (eV/atom): -0.23

---

Ce2PrNi9 after structural relaxation. Source: the Alexandria database, functional PBE-GGA.

Cell and atoms, written as CIF:
```
data_Ce2PrNi9
_chemical_formula_sum 'Ce6 Pr3 Ni27'
_space_group_name_H-M_alt 'R -3 m'
_space_group_IT_number 166
_space_group_name_Hall '-R 3 2"'
_cell_length_a 4.9863
_cell_length_b 4.9863
_cell_length_c 24.7043
_cell_angle_alpha 90.00
_cell_angle_beta 90.00
_cell_angle_gamma 120.00
loop_
_atom_site_label
_atom_site_fract_x
_atom_site_fract_y
_atom_site_fract_z
_atom_site_occupancy
Ce1 0.0000 0.0000 0.1390 1
Pr1 0.0000 0.0000 0.0000 1
Ni1 0.0000 0.0000 0.3328 1
Ni2 0.0000 0.0000 0.5000 1
Ni3 0.9997 0.4998 0.0829 1
```

ΔH_f (0 K) (eV/atom): -0.36

---

CePr3Ni8 after structural relaxation. Source: the Alexandria database, functional PBE-GGA.

Cell and atoms, written as CIF:
```
data_CePr3Ni8
_chemical_formula_sum 'Ce3 Pr9 Ni24'
_space_group_name_H-M_alt 'R 3 m'
_space_group_IT_number 160
_space_group_name_Hall 'R 3 -2"'
_cell_length_a 5.1743
_cell_length_b 5.1743
_cell_length_c 25.3485
_cell_angle_alpha 90.00
_cell_angle_beta 90.00
_cell_angle_gamma 120.00
loop_
_atom_site_label
_atom_site_fract_x
_atom_site_fract_y
_atom_site_fract_z
_atom_site_occupancy
Ce1 0.0000 0.0000 0.0000 1
Pr1 0.0000 0.0000 0.1252 1
Pr2 0.0000 0.0000 0.5021 1
Pr3 0.0000 0.0000 0.6273 1
Ni1 0.0000 0.0000 0.3145 1
Ni2 0.0000 0.0000 0.8140 1
Ni3 0.0006 0.5003 0.0631 1
Ni4 0.0018 0.5009 0.5649 1
```

ΔH_f (0 K) (eV/atom): -0.29

---

| no. | magnetic moment (Bohr magnetons per cell) |
| --- | --- |
| 1 | 0.9 |
| 2 | 0.0 |
| 3 | 4.6 |
| 4 | 0.0 |
| 5 | 2.2 |
| 6 | 2.2 |
| 7 | 18.7 |
| 8 | 0.0 |
| 9 | 0.0 |
| 10 | 1.1 |